# 1
This record from Alexandria describes an optimized crystal structure of La2InNi9. The functional is GGA-PBE.

Structure (POSCAR):
```
La2InNi9
1.0
2.4788 1.4312 8.3569
-2.4788 1.4312 8.3569
0.0000 -2.8623 8.3569
La In Ni
2 1 9
Cartesian
0.0000 0.0000 3.3872 La
0.0000 0.0000 21.6835 La
0.0000 0.0000 0.0000 In
-1.2369 -0.7141 10.3504 Ni
0.0000 0.0000 8.3382 Ni
0.0000 -1.4283 14.7202 Ni
-1.2369 0.7141 14.7202 Ni
0.0000 0.0000 12.5353 Ni
1.2369 -0.7141 10.3504 Ni
0.0000 1.4283 10.3504 Ni
0.0000 0.0000 16.7324 Ni
1.2369 0.7141 14.7202 Ni
```

Values from the calculation:
- calculated density (g/cm³) = 8.6
- crystal system = trigonal
- energy relative to the elements (meV/atom) = -196

# 2
This record from Alexandria describes an optimized crystal structure of LaInNi2. The functional is GGA-PBE.

Structure (POSCAR):
```
LaInNi2
1.0
-2.0480 2.0480 4.7251
2.0480 -2.0480 4.7251
2.0480 2.0480 -4.7251
La In Ni
1 1 2
Cartesian
0.0000 0.0000 0.0000 La
0.0000 2.0480 2.3626 In
2.0480 0.0000 2.3626 Ni
0.0000 0.0000 4.7251 Ni
```

Values from the calculation:
- calculated density (g/cm³) = 7.8
- crystal system = tetragonal
- energy relative to the elements (meV/atom) = -22

# 3
This record from Alexandria describes an optimized crystal structure of LaIn6Ni3. The functional is GGA-PBE.

Structure (POSCAR):
```
LaIn6Ni3
1.0
8.2589 0.0000 0.0000
0.0000 4.4185 0.0000
-1.8381 0.0000 11.7286
La In Ni
2 12 6
Cartesian
-0.1818 1.1046 2.5307 La
6.6027 3.3139 9.1978 La
-0.3297 1.1046 6.8628 In
1.7906 3.3139 0.5378 In
2.3458 3.3139 3.3274 In
1.5988 3.3139 8.2398 In
1.4435 1.1046 10.4902 In
2.3142 1.1046 5.4027 In
4.1067 3.3139 6.3258 In
4.9773 3.3139 1.2384 In
4.8221 1.1046 3.4887 In
4.0751 1.1046 8.4012 In
4.6302 1.1046 11.1908 In
6.7506 3.3139 4.8658 In
-1.0319 1.1046 11.4069 Ni
0.9814 3.3139 5.6990 Ni
2.9940 1.1046 1.6323 Ni
3.4268 3.3139 10.0962 Ni
5.4395 1.1046 6.0295 Ni
7.4528 3.3139 0.3217 Ni
```

Values from the calculation:
- relative energy among the computed polymorphs (meV/atom) = 126.7
- calculated density (g/cm³) = 7.8
- crystal system = monoclinic
- energy relative to the elements (meV/atom) = -175

# 4
This record from Alexandria describes an optimized crystal structure of LaInNi2. The functional is GGA-PBE.

Structure (POSCAR):
```
LaInNi2
1.0
-1.6638 2.3206 5.0490
1.6638 -2.3206 5.0490
1.6638 2.3206 -5.0490
La In Ni
1 1 2
Cartesian
0.0000 0.0000 0.0000 La
0.0000 2.3206 2.1965 In
1.6638 0.0000 2.8944 Ni
0.0000 0.0000 4.7563 Ni
```

Values from the calculation:
- calculated density (g/cm³) = 7.9
- crystal system = orthorhombic
- energy relative to the elements (meV/atom) = -76

# 5
This record from Alexandria describes an optimized crystal structure of LaIn2Ni. The functional is GGA-PBE.

Structure (POSCAR):
```
LaIn2Ni
1.0
2.5985 -4.1688 0.0000
2.5985 4.1688 0.0000
0.0000 0.0000 4.5215
La In Ni
1 2 1
Cartesian
0.0000 0.0000 0.0000 La
2.5985 1.4333 2.2607 In
2.5985 -1.4333 2.2607 In
2.5985 0.0000 0.0000 Ni
```

Values from the calculation:
- calculated density (g/cm³) = 7.2
- crystal system = orthorhombic
- energy relative to the elements (meV/atom) = -406

# 6
This record from Alexandria describes an optimized crystal structure of LaIn2Ni. The functional is GGA-PBE.

Structure (POSCAR):
```
LaIn2Ni
1.0
0.0000 3.5949 3.5949
3.5949 0.0000 3.5949
3.5949 3.5949 0.0000
La In Ni
1 2 1
Cartesian
0.0000 0.0000 0.0000 La
1.7975 1.7975 1.7975 In
5.3924 5.3924 5.3924 In
3.5949 3.5949 3.5949 Ni
```

Values from the calculation:
- calculated density (g/cm³) = 7.6
- crystal system = cubic
- energy relative to the elements (meV/atom) = -128

# 7
This record from Alexandria describes an optimized crystal structure of La4In12Ni. The functional is GGA-PBE.

Structure (POSCAR):
```
La4In12Ni
1.0
-4.8064 4.8064 4.8064
4.8064 -4.8064 4.8064
4.8064 4.8064 -4.8064
La In Ni
4 12 1
Cartesian
2.4032 2.4032 -2.4032 La
2.4032 -2.4032 2.4032 La
-2.4032 2.4032 2.4032 La
2.4032 2.4032 2.4032 La
2.6577 0.0000 0.0000 In
6.9551 0.0000 0.0000 In
4.8064 2.4032 0.0000 In
4.8064 0.0000 2.4032 In
0.0000 2.6577 0.0000 In
0.0000 0.0000 2.6577 In
2.4032 4.8064 0.0000 In
2.4032 0.0000 4.8064 In
0.0000 6.9551 0.0000 In
0.0000 0.0000 6.9551 In
0.0000 4.8064 2.4032 In
0.0000 2.4032 4.8064 In
0.0000 0.0000 0.0000 Ni
```

Values from the calculation:
- calculated density (g/cm³) = 7.4
- crystal system = cubic
- energy relative to the elements (meV/atom) = -464

# 8
This record from Alexandria describes an optimized crystal structure of LaInNi2. The functional is GGA-PBE.

Structure (POSCAR):
```
LaInNi2
1.0
3.8351 0.0000 0.0000
0.0000 3.8632 0.0000
0.0000 0.0000 5.4446
La In Ni
1 1 2
Cartesian
0.0000 0.0000 0.0000 La
1.9175 1.9316 2.2005 In
0.0000 0.0000 2.7847 Ni
1.9175 1.9316 4.8094 Ni
```

Values from the calculation:
- calculated density (g/cm³) = 7.6
- crystal system = orthorhombic
- energy relative to the elements (meV/atom) = -84

# 9
This record from Alexandria describes an optimized crystal structure of La2In9Ni3. The functional is GGA-PBE.

Structure (POSCAR):
```
La2In9Ni3
1.0
7.1727 -4.1283 0.0000
7.1727 4.1283 0.0000
-4.8057 0.0000 10.4578
La In Ni
4 18 6
Cartesian
1.2129 0.6871 2.6266 La
-1.1900 -0.6871 7.8554 La
10.7297 0.6871 2.6023 La
8.3269 -0.6871 7.8312 La
5.9708 3.5063 0.7450 In
5.9718 3.5063 4.4839 In
1.1387 0.7149 5.9785 In
4.3913 1.5790 2.6351 In
1.1278 0.7228 9.8905 In
3.5415 -0.7149 0.7496 In
3.5684 1.1381 7.8433 In
7.5513 1.5790 2.5938 In
3.5307 -0.7228 4.6617 In
6.0091 0.7228 5.7961 In
1.9885 -1.5790 7.8640 In
5.9713 -1.1381 2.6144 In
5.9982 0.7149 9.7081 In
8.4119 -0.7228 0.5672 In
5.1484 -1.5790 7.8227 In
8.4011 -0.7149 4.4793 In
3.5680 -3.5063 5.9738 In
3.5689 -3.5063 9.7128 In
3.5864 2.0641 0.0000 Ni
3.5821 2.0690 5.2249 Ni
8.3605 2.0690 0.0040 Ni
1.1835 -2.0641 5.2289 Ni
1.1793 -2.0690 10.4537 Ni
5.9576 -2.0690 5.2329 Ni
```

Values from the calculation:
- calculated density (g/cm³) = 8.0
- crystal system = monoclinic
- energy relative to the elements (meV/atom) = -282

# 10
This record from Alexandria describes an optimized crystal structure of La2In2Ni. The functional is GGA-PBE.

Structure (POSCAR):
```
La2In2Ni
1.0
7.1781 0.0000 0.0000
0.0000 7.1781 0.0000
0.0000 0.0000 5.1650
La In Ni
4 4 2
Cartesian
1.1092 2.4799 0.0000 La
2.4799 6.0689 0.0000 La
4.6982 1.1092 0.0000 La
6.0689 4.6982 0.0000 La
1.1059 4.6950 2.5825 In
2.4832 1.1059 2.5825 In
4.6950 6.0722 2.5825 In
6.0722 2.4832 2.5825 In
0.0000 0.0000 2.5825 Ni
3.5891 3.5891 2.5825 Ni
```

Values from the calculation:
- calculated density (g/cm³) = 7.1
- crystal system = tetragonal
- energy relative to the elements (meV/atom) = -261

# 11
This record from Alexandria describes an optimized crystal structure of LaInNi2. The functional is GGA-PBE.

Structure (POSCAR):
```
LaInNi2
1.0
4.1306 0.0000 0.0000
0.0000 1.9324 4.8842
0.0000 -1.9324 4.8842
La In Ni
1 1 2
Cartesian
0.0000 0.0000 0.0000 La
2.0653 0.0000 2.8374 In
0.0000 0.0000 7.0666 Ni
2.0653 0.0000 5.6810 Ni
```

Values from the calculation:
- calculated density (g/cm³) = 7.9
- crystal system = orthorhombic
- energy relative to the elements (meV/atom) = -343

# 12
This record from Alexandria describes an optimized crystal structure of La2In3Ni. The functional is GGA-PBE.

Structure (POSCAR):
```
La2In3Ni
1.0
0.0000 4.8557 8.4275
3.8852 0.0000 8.4275
3.8852 4.8557 0.0000
La In Ni
4 6 2
Cartesian
5.8632 4.8557 8.4275 La
1.9426 2.4279 4.2137 La
5.8278 7.2836 12.6412 La
1.9071 4.8557 8.4275 La
3.8852 2.3079 6.9534 In
3.8852 2.3079 9.9016 In
3.8852 4.8557 5.4937 In
3.8852 4.8557 11.3613 In
3.8852 7.4035 6.9534 In
3.8852 7.4035 9.9016 In
3.8852 4.8557 2.8344 Ni
3.8852 4.8557 14.0205 Ni
```

Values from the calculation:
- calculated density (g/cm³) = 7.1
- crystal system = orthorhombic
- energy relative to the elements (meV/atom) = -424

Question: Look up the calculated density of the fifth one.
Answer: 7.2 g/cm³